(1)
5
Lattice="4.157 0.000 0.000 0.000 4.157 0.000 0.000 0.000 4.157" Properties=species:S:1:pos:R:3 comment="BiMoC3, optimized geometry, DFT PBE" spacegroup="Pm-3m, No. 221" de_polymorph_mev_per_atom=0.0 ef_ev_per_atom=1.773 pbc="T T T"
C 0.000 2.078 0.000
C 0.000 0.000 2.078
C 2.078 0.000 0.000
Mo 0.000 0.000 0.000
Bi 2.078 2.078 2.078

***

(2)
5
Lattice="-3.800 -0.289 1.929 1.842 -1.923 3.339 0.642 3.803 1.835" Properties=species:S:1:pos:R:3 comment="BiMo3C, optimized geometry, DFT PBE" spacegroup="Pm-3m, No. 221" de_polymorph_mev_per_atom=0.0 ef_ev_per_atom=0.431 pbc="T T T"
C 0.000 0.000 0.000
Mo 0.921 -0.961 1.670
Mo 0.321 1.901 0.918
Mo -1.900 -0.144 0.964
Bi -0.658 0.795 3.552

***

(3)
5
Lattice="-1.836 -4.541 -1.179 -0.767 -0.958 4.886 -4.628 1.960 -0.342" Properties=species:S:1:pos:R:3 comment="BiMo3C, optimized geometry, DFT PBE" spacegroup="Pm-3m, No. 221" de_polymorph_mev_per_atom=3427.9 ef_ev_per_atom=3.859 pbc="T T T"
C -3.616 -1.769 1.683
Mo -0.383 -0.479 2.443
Mo -2.314 0.980 -0.171
Mo -0.918 -2.270 -0.589
Bi 0.000 0.000 0.000

***

(4)
5
Lattice="5.197 0.000 0.000 0.000 4.295 0.000 0.000 0.000 5.197" Properties=species:S:1:pos:R:3 comment="BiMo2CN, optimized geometry, DFT PBE" spacegroup="P4/mmm, No. 123" raw_formation_energy_ev_per_atom=3.90 pbc="T T T"
C 0.000 2.147 0.000
Mo 0.000 0.000 2.599
Mo 2.599 0.000 0.000
Bi 0.000 0.000 0.000
N 2.599 2.147 2.599

***

(5)
5
Lattice="4.336 0.000 0.000 0.000 5.510 0.000 0.000 0.000 4.336" Properties=species:S:1:pos:R:3 comment="RbBiMo2C, optimized geometry, DFT PBE" spacegroup="P4/mmm, No. 123" ef_ev_per_atom=1.243 pbc="T T T"
C 0.000 0.000 0.000
Mo 0.000 0.000 2.168
Mo 2.168 0.000 0.000
Bi 0.000 2.755 0.000
Rb 2.168 2.755 2.168

***

(6)
5
Lattice="-0.298 -0.189 -4.309 3.935 -2.326 -0.170 -2.184 -3.718 0.314" Properties=species:S:1:pos:R:3 comment="BiMo2CSe, optimized geometry, DFT PBE" spacegroup="P4/mmm, No. 123" raw_formation_energy_ev_per_atom=0.94 pbc="T T T"
C 0.000 0.000 0.000
Mo -1.092 -1.859 0.157
Mo -0.149 -0.095 -2.154
Bi 0.727 -3.116 -2.082
Se 1.968 -1.163 -0.085

***

(7)
5
Lattice="-2.247 2.535 -2.505 1.871 -2.771 -4.483 -3.273 -2.639 0.265" Properties=species:S:1:pos:R:3 comment="BiTeMoC2, optimized geometry, DFT PBE" spacegroup="P4/mmm, No. 123" raw_formation_energy_ev_per_atom=1.43 pbc="T T T"
C -1.637 -1.319 0.132
C -1.123 1.268 -1.252
Mo 0.000 0.000 0.000
Te 0.936 -1.386 -2.242
Bi -1.824 -1.437 -3.361

***

(8)
5
Lattice="-3.474 1.568 -1.264 -2.458 -3.351 2.601 -0.032 2.476 3.161" Properties=species:S:1:pos:R:3 comment="VBiMoC2, optimized geometry, DFT PBE" spacegroup="P4/mmm, No. 123" ef_ev_per_atom=1.632 pbc="T T T"
C -0.016 1.238 1.580
C -1.737 0.784 -0.632
Mo -1.229 -1.676 1.300
Bi -2.982 0.346 2.249
V 0.000 0.000 0.000

***

(9)
5
Lattice="-1.269 -0.978 3.219 -3.028 -1.168 -1.549 1.467 -3.257 -0.412" Properties=species:S:1:pos:R:3 comment="BiCN3, optimized geometry, DFT PBE" spacegroup="Pm-3m, No. 221" raw_formation_energy_ev_per_atom=2.24 pbc="T T T"
C 0.000 0.000 0.000
Bi -1.415 -2.702 0.629
N -1.514 -0.584 -0.774
N 0.733 -1.629 -0.206
N -0.635 -0.489 1.610

***

(10)
5
Lattice="-0.840 -3.569 -0.918 3.058 -0.149 -2.217 2.057 -1.236 2.920" Properties=species:S:1:pos:R:3 comment="BiC3N, optimized geometry, DFT PBE" spacegroup="Pm-3m, No. 221" raw_formation_energy_ev_per_atom=3.21 pbc="T T T"
C 1.529 -0.075 -1.109
C 1.029 -0.618 1.460
C -0.420 -1.785 -0.459
Bi 2.137 -2.477 -0.108
N 0.000 0.000 0.000

***

(11)
5
Lattice="4.380 0.000 0.000 0.000 4.380 0.000 0.000 0.000 4.380" Properties=species:S:1:pos:R:3 comment="BiCN3, optimized geometry, DFT PBE" spacegroup="Pm-3m, No. 221" raw_formation_energy_ev_per_atom=3.43 pbc="T T T"
C 2.190 2.190 2.190
Bi 0.000 0.000 0.000
N 0.000 2.190 0.000
N 0.000 0.000 2.190
N 2.190 0.000 0.000

***

(12)
5
Lattice="-2.195 -2.198 2.750 -2.695 -1.035 -2.979 2.398 -3.561 -0.932" Properties=species:S:1:pos:R:3 comment="BiCNO2, optimized geometry, DFT PBE" spacegroup="P4/mmm, No. 123" raw_formation_energy_ev_per_atom=1.98 pbc="T T T"
C -1.246 -3.397 -0.581
Bi 0.000 0.000 0.000
O -1.348 -0.518 -1.490
O -1.098 -1.099 1.375
N 1.199 -1.780 -0.466

***

(13)
5
Lattice="-1.141 -3.116 -2.786 3.474 0.899 -2.429 1.447 -1.789 1.408" Properties=species:S:1:pos:R:3 comment="BiCNO2, optimized geometry, DFT PBE" spacegroup="P4/mmm, No. 123" raw_formation_energy_ev_per_atom=0.72 pbc="T T T"
C 0.000 0.000 0.000
Bi 1.890 -2.003 -1.903
O 1.737 0.450 -1.214
O -0.571 -1.558 -1.393
N 0.724 -0.894 0.704

***

(14)
8
Lattice="-2.927 2.580 -0.576 0.538 -0.259 -3.899 -5.009 -5.751 -0.309" Properties=species:S:1:pos:R:3 comment="BiCNO, optimized geometry, DFT PBE" spacegroup="P4/nmm, No. 129" raw_formation_energy_ev_per_atom=-0.12 pbc="T T T"
Bi -3.920 -4.940 -2.208
Bi -2.283 0.349 -0.338
C -4.201 -1.853 -0.457
C -2.002 -2.738 -2.089
N -1.222 -1.842 -2.041
N -4.981 -2.749 -0.505
O 0.000 0.000 0.000
O -1.194 1.160 -2.237

***

(15)
28
Lattice="-4.730 -0.389 -4.991 -5.843 -0.875 5.607 -1.316 11.187 0.375" Properties=species:S:1:pos:R:3 comment="RbBiC4S4N4, optimized geometry, DFT PBE" spacegroup="P2_12_12, No. 18" raw_formation_energy_ev_per_atom=0.03 pbc="T T T"
Rb -3.775 5.337 -3.101
Rb -4.535 -0.570 1.101
Bi -0.253 -0.021 -0.267
Bi -8.056 4.788 -1.732
C -6.686 6.410 0.544
C -6.214 7.488 4.273
C -5.742 3.469 -0.121
C -3.527 9.457 -1.605
C -1.973 2.740 0.624
C -7.824 0.511 3.164
C -8.561 1.694 -0.489
C -7.030 7.925 -2.426
S -5.293 7.132 0.836
S -2.168 4.342 0.486
S -6.216 5.870 4.204
S -9.507 8.048 2.504
S -7.211 9.516 -2.181
S -8.184 0.120 -0.527
S -5.474 2.884 1.339
S -3.505 1.783 -2.697
N -8.819 2.858 -0.453
N -5.956 3.924 -1.217
N -7.730 5.852 0.313
N -3.416 9.875 -0.479
N -6.889 6.751 -2.586
N -1.837 1.558 0.705
N -6.233 8.680 4.316
N -6.677 0.196 3.366

***

(16)
5
Lattice="-1.148 3.082 2.830 -4.056 -0.438 -1.168 -0.556 -3.021 3.064" Properties=species:S:1:pos:R:3 comment="BiRuC2N, optimized geometry, DFT PBE" spacegroup="P4/mmm, No. 123" raw_formation_energy_ev_per_atom=3.41 pbc="T T T"
Ru -2.880 -0.189 2.363
C -0.278 -1.510 1.532
C -0.574 1.541 1.415
Bi 0.000 0.000 0.000
N -2.028 -0.219 -0.584

***

(17)
5
Lattice="6.132 0.000 0.000 0.000 6.132 0.000 0.000 0.000 2.535" Properties=species:S:1:pos:R:3 comment="BiCS2N, optimized geometry, DFT PBE" spacegroup="P4/mmm, No. 123" de_polymorph_mev_per_atom=0.0 raw_formation_energy_ev_per_atom=1.01 pbc="T T T"
C 0.000 0.000 0.000
S 0.000 3.066 0.000
S 3.066 0.000 0.000
Bi 3.066 3.066 1.267
N 0.000 0.000 1.267

***

(18)
5
Lattice="-4.766 2.235 0.466 -0.577 -2.223 4.759 1.900 3.649 1.935" Properties=species:S:1:pos:R:3 comment="BiCS2N, optimized geometry, DFT PBE" spacegroup="P4/mmm, No. 123" de_polymorph_mev_per_atom=1510.4 raw_formation_energy_ev_per_atom=2.52 pbc="T T T"
C -1.722 1.830 3.580
S -0.288 -1.112 2.380
S -2.383 1.117 0.233
Bi 0.000 0.000 0.000
N 0.950 1.824 0.967

***

(19)
5
Lattice="-0.022 -3.796 -1.709 3.351 1.092 -2.470 2.612 -1.343 2.949" Properties=species:S:1:pos:R:3 comment="ScBiCN2, optimized geometry, DFT PBE" spacegroup="P4/mmm, No. 123" raw_formation_energy_ev_per_atom=1.22 pbc="T T T"
Sc 0.000 0.000 0.000
C 1.675 0.546 -1.235
Bi 2.970 -2.023 -0.615
N 1.306 -0.672 1.475
N -0.011 -1.898 -0.854

***

(20)
5
Lattice="3.910 0.000 0.000 0.000 6.199 0.000 0.000 0.000 3.910" Properties=species:S:1:pos:R:3 comment="TaBiCN2, optimized geometry, DFT PBE" spacegroup="P4/mmm, No. 123" raw_formation_energy_ev_per_atom=1.37 pbc="T T T"
C 1.955 3.100 1.955
N 0.000 0.000 1.955
N 1.955 0.000 0.000
Bi 0.000 3.100 0.000
Ta 0.000 0.000 0.000